First-principles (PBE) data for a relaxed structure of TbPmZnIr, as listed in Alexandria.

Properties
**M_tot**: 0.00 μB per cell
**Energy relative to the elements**: -567 meV/atom

a = 4.3951 Å, b = 5.7413 Å, c = 5.7413 Å
α = 40.18°, β = 90.00°, γ = 90.00°
Closest atoms and distances in Å follow each position.
Element x y z (fractional)
Tb1 0.0000 0.0000 0.0000  3 Zn 2.98-3.16, 4 Ir 3.04
Pm1 0.5000 0.7205 0.7205  3 Ir 3.03-3.09, 4 Zn 3.05
Zn1 0.0000 0.2927 0.2927  2 Ir 2.68, 2 Tb 2.98
Ir1 0.5000 0.4344 0.4344  2 Zn 2.68